A plane-wave DFT calculation with PBE was carried out for an optimized crystal structure of RbCu.

Cell lengths 6.9843, 6.9843, 6.7916 Å; angles 90.00, 90.00, 90.00 degrees
Positions (direct):
Rb: 0.1869 0.1869 0.0000
Rb: 0.3131 0.6869 0.5000
Rb: 0.6869 0.3131 0.5000
Rb: 0.8131 0.8131 0.0000
Cu: 0.1252 0.1252 0.5000
Cu: 0.3748 0.6252 0.0000
Cu: 0.6252 0.3748 0.0000
Cu: 0.8748 0.8748 0.5000

Output
formation energy from the elements = 0.50 eV per atom
M_tot = 0.0000 μB/atom
electronic total energy = -2.03 eV per atom

=====

A plane-wave DFT calculation with PBE was carried out for an optimized crystal structure of RbCu.

Cell lengths 11.9892, 11.9892, 4.6328 Å; angles 90.00, 90.00, 120.00 degrees
Positions (direct):
Rb: 0.2097 0.4193 0.2500
Rb: 0.2097 0.7903 0.2500
Rb: 0.4193 0.2097 0.7500
Rb: 0.5807 0.7903 0.2500
Rb: 0.7903 0.2097 0.7500
Rb: 0.7903 0.5807 0.7500
Cu: 0.0277 0.5138 0.7500
Cu: 0.4862 0.5138 0.7500
Cu: 0.4862 0.9723 0.7500
Cu: 0.5138 0.0277 0.2500
Cu: 0.5138 0.4862 0.2500
Cu: 0.9723 0.4862 0.2500

Output
formation energy from the elements = 0.36 eV per atom
M_tot = 0.0018 μB/atom
electronic total energy = -2.17 eV per atom

=====

Question: Look up the electronic total energy of the first one.
Answer: -2.03 eV per atom

=====

Question: Among the records above, which one has the highest formation energy from the elements?
Answer: number 1

=====

Question: Which value of M_tot does entry 1 give?
Answer: 0.0000 μB/atom

=====

Question: Which of these has the highest formation energy from the elements?
Answer: number 1